No. 1
The following is a DFT calculation (PBE) of Na2SmTlI6 after structural relaxation.

Properties
Energy relative to the elements, uncorrected, eV per atom: -1.19

Structure (POSCAR):
```
Na2SmTlI6
1.0
8.181 0.000 0.000
4.089 7.091 0.000
4.090 2.362 7.510
Na Sm Tl I
2 1 1 6
direct
0.000 0.000 0.000
0.488 0.488 0.536
0.812 0.812 0.565
0.299 0.299 0.103
0.065 0.730 0.784
0.211 0.621 0.304
0.422 0.065 0.784
0.620 0.865 0.304
0.730 0.422 0.784
0.865 0.211 0.304
```

No. 2
The following is a DFT calculation (PBE) of Ga2TeAu after structural relaxation.

Properties
Energy relative to the elements, uncorrected, eV per atom: -0.14

Structure (POSCAR):
```
Ga2TeAu
1.0
2.005 1.157 6.702
-2.005 1.157 6.702
0.000 -2.315 6.702
Ga Te Au
2 1 1
direct
0.000 0.000 0.000
0.189 0.189 0.189
0.756 0.756 0.756
0.591 0.591 0.591
```

For reference, ρ by record: 4.430 8.258 Mg/m³.
For reference, magnetization by record: 0.0 0.0 μB/f.u..